[1]
This record from Alexandria via LeMat-Bulk describes crystalline Sm2AlGa4Au3 at its relaxed geometry. The functional is PBE.

Results
size of the total moment: 0.0 μB per formula unit
D(E_F): 3.22 states/eV/f.u.
ΔH_f (0 K): -0.627 eV/atom

Geometry as POSCAR:
```
Sm2AlGa4Au3
1.0
4.266 0.000 0.000
0.000 4.266 0.000
0.000 0.000 11.104
Sm Al Ga Au
2 1 4 3
Direct
0.000 0.500 0.247
0.500 0.000 0.753
0.500 0.500 0.000
0.000 0.000 0.500
0.000 0.500 0.861
0.500 0.000 0.139
0.500 0.500 0.500
0.000 0.000 0.000
0.000 0.500 0.636
0.500 0.000 0.364
```

***

[2]
This record from Alexandria via LeMat-Bulk describes crystalline Sm2Al3GaAu4 at its relaxed geometry. The functional is PBE.

Results
size of the total moment: 0.0 μB per formula unit
D(E_F): 3.96 states/eV/f.u.
ΔH_f (0 K): -0.711 eV/atom

Geometry as POSCAR:
```
Sm2Al3GaAu4
1.0
4.395 0.000 0.000
0.000 4.395 0.000
0.000 0.000 10.519
Sm Al Ga Au
2 3 1 4
Direct
0.000 0.500 0.249
0.500 0.000 0.751
0.000 0.500 0.869
0.500 0.000 0.131
0.500 0.500 0.500
0.000 0.000 0.500
0.000 0.000 0.000
0.000 0.500 0.633
0.500 0.000 0.367
0.500 0.500 0.000
```

***

[3]
This record from Alexandria via LeMat-Bulk describes crystalline Sm2Al4Ga3Au at its relaxed geometry. The functional is PBE.

Results
size of the total moment: 0.0 μB per formula unit
D(E_F): 2.22 states/eV/f.u.
ΔH_f (0 K): -0.490 eV/atom

Geometry as POSCAR:
```
Sm2Al4Ga3Au
1.0
4.295 0.000 0.000
0.000 4.295 0.000
0.000 0.000 10.749
Sm Al Ga Au
2 4 3 1
Direct
0.000 0.500 0.247
0.500 0.000 0.753
0.000 0.000 0.500
0.000 0.500 0.868
0.500 0.000 0.132
0.500 0.500 0.500
0.000 0.000 0.000
0.000 0.500 0.638
0.500 0.000 0.362
0.500 0.500 0.000
```

***

[4]
This record from Alexandria via LeMat-Bulk describes crystalline SmAlGaAu2 at its relaxed geometry. The functional is PBE.

Results
size of the total moment: 0.0 μB per formula unit
D(E_F): 2.38 states/eV/f.u.
ΔH_f (0 K): -0.657 eV/atom

Geometry as POSCAR:
```
SmAlGaAu2
1.0
-2.109 2.109 5.805
2.109 -2.109 5.805
2.109 2.109 -5.805
Sm Al Ga Au
1 1 1 2
Direct
0.000 0.000 0.000
0.750 0.250 0.500
0.250 0.750 0.500
0.382 0.382 0.000
0.618 0.618 0.000
```

***

[5]
This record from Alexandria via LeMat-Bulk describes crystalline SmAlGa2Au5 at its relaxed geometry. The functional is PBE.

Results
size of the total moment: 0.0 μB per formula unit
D(E_F): 3.18 states/eV/f.u.
ΔH_f (0 K): -0.277 eV/atom

Geometry as POSCAR:
```
SmAlGa2Au5
1.0
-2.392 3.012 6.777
2.392 -3.012 6.777
2.392 3.012 -6.777
Sm Al Ga Au
1 1 2 5
Direct
0.000 0.000 0.000
0.500 0.500 0.000
0.311 0.811 0.500
0.689 0.189 0.500
0.086 0.351 0.735
0.384 0.649 0.735
0.500 0.000 0.500
0.616 0.351 0.265
0.914 0.649 0.265
```

***

[6]
This record from Alexandria via LeMat-Bulk describes crystalline SmAlGa2Au4 at its relaxed geometry. The functional is PBE.

Results
size of the total moment: 0.0 μB per formula unit
D(E_F): 2.80 states/eV/f.u.
ΔH_f (0 K): -0.482 eV/atom

Geometry as POSCAR:
```
SmAlGa2Au4
1.0
2.245 1.296 8.877
-2.245 1.296 8.877
0.000 -2.593 8.877
Sm Al Ga Au
1 1 2 4
Direct
0.000 0.000 0.000
0.500 0.500 0.500
0.256 0.256 0.256
0.744 0.744 0.744
0.137 0.137 0.137
0.399 0.399 0.399
0.601 0.601 0.601
0.863 0.863 0.863
```

***

[7]
This record from Alexandria via LeMat-Bulk describes crystalline Sm2AlGa6Au at its relaxed geometry. The functional is PBE.

Results
size of the total moment: 0.0 μB per formula unit
D(E_F): 4.00 states/eV/f.u.
ΔH_f (0 K): -0.265 eV/atom

Geometry as POSCAR:
```
Sm2AlGa6Au
1.0
3.108 1.794 13.053
-3.108 1.794 13.053
0.000 -3.589 13.053
Sm Al Ga Au
4 2 12 2
Direct
0.127 0.127 0.127
0.316 0.316 0.316
0.684 0.684 0.684
0.873 0.873 0.873
0.000 0.000 0.000
0.500 0.500 0.500
0.060 0.662 0.662
0.205 0.205 0.741
0.205 0.741 0.205
0.259 0.795 0.795
0.338 0.338 0.940
0.338 0.940 0.338
0.662 0.060 0.662
0.662 0.662 0.060
0.741 0.205 0.205
0.795 0.259 0.795
0.795 0.795 0.259
0.940 0.338 0.338
0.427 0.427 0.427
0.573 0.573 0.573
```

***

[8]
This record from Alexandria via LeMat-Bulk describes crystalline Sr2Al3GaAu4 at its relaxed geometry. The functional is PBE.

Results
size of the total moment: 0.0 μB per formula unit
D(E_F): 5.59 states/eV/f.u.
ΔH_f (0 K): -0.629 eV/atom

Geometry as POSCAR:
```
Sr2Al3GaAu4
1.0
4.523 0.000 0.000
0.000 4.523 0.000
0.000 0.000 10.659
Sr Al Ga Au
2 3 1 4
Direct
0.000 0.500 0.248
0.500 0.000 0.752
0.000 0.000 0.000
0.000 0.500 0.624
0.500 0.000 0.376
0.500 0.500 0.000
0.000 0.000 0.500
0.000 0.500 0.867
0.500 0.000 0.133
0.500 0.500 0.500
```

***

[9]
This record from Alexandria via LeMat-Bulk describes crystalline SrAl2GaAu4 at its relaxed geometry. The functional is PBE.

Results
size of the total moment: 0.0 μB per formula unit
D(E_F): 2.75 states/eV/f.u.
ΔH_f (0 K): -0.429 eV/atom

Geometry as POSCAR:
```
SrAl2GaAu4
1.0
2.199 1.269 9.884
-2.199 1.269 9.884
0.000 -2.539 9.884
Sr Al Ga Au
1 2 1 4
Direct
0.000 0.000 0.000
0.241 0.241 0.241
0.759 0.759 0.759
0.500 0.500 0.500
0.130 0.130 0.130
0.403 0.403 0.403
0.597 0.597 0.597
0.870 0.870 0.870
```

***

[10]
This record from Alexandria via LeMat-Bulk describes crystalline Sr3AlGa2Au6 at its relaxed geometry. The functional is PBE.

Results
size of the total moment: 0.0 μB per formula unit
D(E_F): 4.92 states/eV/f.u.
ΔH_f (0 K): -0.531 eV/atom

Geometry as POSCAR:
```
Sr3AlGa2Au6
1.0
6.485 0.000 0.000
-3.242 5.616 0.000
0.000 0.000 8.301
Sr Al Ga Au
3 1 2 6
Direct
0.000 0.000 0.000
0.333 0.667 0.654
0.667 0.333 0.346
0.000 0.000 0.500
0.333 0.667 0.053
0.667 0.333 0.947
0.180 0.361 0.305
0.180 0.820 0.305
0.361 0.180 0.695
0.639 0.820 0.305
0.820 0.180 0.695
0.820 0.639 0.695
```

***

[11]
This record from Alexandria via LeMat-Bulk describes crystalline Sr2AlGa4Au3 at its relaxed geometry. The functional is PBE.

Results
size of the total moment: 0.0 μB per formula unit
D(E_F): 5.64 states/eV/f.u.
ΔH_f (0 K): -0.557 eV/atom

Geometry as POSCAR:
```
Sr2AlGa4Au3
1.0
4.376 0.000 0.000
0.000 4.376 0.000
0.000 0.000 11.375
Sr Al Ga Au
2 1 4 3
Direct
0.000 0.500 0.250
0.500 0.000 0.750
0.000 0.000 0.500
0.000 0.000 0.000
0.000 0.500 0.635
0.500 0.000 0.365
0.500 0.500 0.000
0.000 0.500 0.865
0.500 0.000 0.135
0.500 0.500 0.500
```

***

[12]
This record from Alexandria via LeMat-Bulk describes crystalline Sr2AlGa2Au4 at its relaxed geometry. The functional is PBE.

Results
size of the total moment: 0.0 μB per formula unit
D(E_F): 3.12 states/eV/f.u.
ΔH_f (0 K): -0.552 eV/atom

Geometry as POSCAR:
```
Sr2AlGa2Au4
1.0
-3.433 3.433 4.390
3.433 -3.433 4.390
3.433 3.433 -4.390
Sr Al Ga Au
2 1 2 4
Direct
0.250 0.750 0.500
0.750 0.250 0.500
0.000 0.000 0.000
0.322 0.322 0.000
0.678 0.678 0.000
0.266 0.266 0.532
0.266 0.734 0.000
0.734 0.266 0.000
0.734 0.734 0.468
```

***

[13]
This record from Alexandria via LeMat-Bulk describes crystalline SrAlGa2Au at its relaxed geometry. The functional is PBE.

Results
size of the total moment: 0.0 μB per formula unit
D(E_F): 1.75 states/eV/f.u.
ΔH_f (0 K): -0.537 eV/atom

Geometry as POSCAR:
```
SrAlGa2Au
1.0
-2.160 2.212 5.654
2.160 -2.212 5.654
2.160 2.212 -5.654
Sr Al Ga Au
1 1 2 1
Direct
0.000 0.000 0.000
0.246 0.746 0.500
0.608 0.608 0.000
0.746 0.246 0.500
0.376 0.376 0.000
```

***

[14]
This record from Alexandria via LeMat-Bulk describes crystalline Sr2Al4Ga3Au at its relaxed geometry. The functional is PBE.

Results
size of the total moment: 0.0 μB per formula unit
D(E_F): 1.06 states/eV/f.u.
ΔH_f (0 K): -0.429 eV/atom

Geometry as POSCAR:
```
Sr2Al4Ga3Au
1.0
4.387 0.000 0.000
0.000 4.387 0.000
0.000 0.000 11.145
Sr Al Ga Au
2 4 3 1
Direct
0.000 0.500 0.249
0.500 0.000 0.751
0.000 0.000 0.500
0.000 0.500 0.870
0.500 0.000 0.130
0.500 0.500 0.500
0.000 0.000 0.000
0.000 0.500 0.638
0.500 0.000 0.362
0.500 0.500 0.000
```

***

[15]
This record from Alexandria via LeMat-Bulk describes crystalline Sr2Al4GaAu3 at its relaxed geometry. The functional is PBE.

Results
size of the total moment: 0.0 μB per formula unit
D(E_F): 5.26 states/eV/f.u.
ΔH_f (0 K): -0.584 eV/atom

Geometry as POSCAR:
```
Sr2Al4GaAu3
1.0
4.464 0.000 0.000
0.000 4.464 0.000
0.000 0.000 10.845
Sr Al Ga Au
2 4 1 3
Direct
0.000 0.500 0.249
0.500 0.000 0.751
0.000 0.000 0.500
0.000 0.500 0.866
0.500 0.000 0.134
0.500 0.500 0.500
0.500 0.500 0.000
0.000 0.000 0.000
0.000 0.500 0.628
0.500 0.000 0.372
```

***

[16]
This record from Alexandria via LeMat-Bulk describes crystalline SrAlGa2Au4 at its relaxed geometry. The functional is PBE.

Results
size of the total moment: 0.0 μB per formula unit
D(E_F): 1.80 states/eV/f.u.
ΔH_f (0 K): -0.442 eV/atom

Geometry as POSCAR:
```
SrAlGa2Au4
1.0
2.257 1.303 9.406
-2.257 1.303 9.406
0.000 -2.606 9.406
Sr Al Ga Au
1 1 2 4
Direct
0.000 0.000 0.000
0.500 0.500 0.500
0.250 0.250 0.250
0.750 0.750 0.750
0.142 0.142 0.142
0.406 0.406 0.406
0.594 0.594 0.594
0.858 0.858 0.858
```

***

[17]
This record from Alexandria via LeMat-Bulk describes crystalline SrAlGaAu3 at its relaxed geometry. The functional is PBE.

Results
size of the total moment: 0.0 μB per formula unit
D(E_F): 2.71 states/eV/f.u.
ΔH_f (0 K): -0.449 eV/atom

Geometry as POSCAR:
```
SrAlGaAu3
1.0
3.425 -6.466 0.000
3.425 6.466 0.000
0.000 0.000 6.499
Sr Al Ga Au
2 2 2 6
Direct
0.220 0.780 0.750
0.780 0.220 0.250
0.498 0.502 0.250
0.502 0.498 0.750
0.111 0.889 0.250
0.889 0.111 0.750
0.214 0.214 0.000
0.214 0.214 0.500
0.304 0.696 0.250
0.696 0.304 0.750
0.786 0.786 0.000
0.786 0.786 0.500
```

***

[18]
This record from Alexandria via LeMat-Bulk describes crystalline Sr2AlGaAu6 at its relaxed geometry. The functional is PBE.

Results
size of the total moment: 0.0 μB per formula unit
D(E_F): 3.19 states/eV/f.u.
ΔH_f (0 K): -0.538 eV/atom

Geometry as POSCAR:
```
Sr2AlGaAu6
1.0
6.011 0.000 0.000
2.995 6.340 0.000
2.988 -0.723 6.312
Sr Al Ga Au
2 1 1 6
Direct
0.045 0.207 0.203
0.955 0.793 0.797
0.500 0.000 0.500
0.500 0.500 0.000
0.003 0.258 0.732
0.378 0.372 0.374
0.492 0.745 0.265
0.508 0.255 0.735
0.622 0.628 0.626
0.997 0.742 0.268
```

***

[19]
This record from Alexandria via LeMat-Bulk describes crystalline Sr3Al2GaAu6 at its relaxed geometry. The functional is PBE.

Results
size of the total moment: 0.0 μB per formula unit
D(E_F): 5.86 states/eV/f.u.
ΔH_f (0 K): -0.461 eV/atom

Geometry as POSCAR:
```
Sr3Al2GaAu6
1.0
6.521 0.000 0.000
-3.261 5.647 0.000
0.000 0.000 8.352
Sr Al Ga Au
3 2 1 6
Direct
0.000 0.000 0.000
0.333 0.667 0.655
0.667 0.333 0.345
0.333 0.667 0.069
0.667 0.333 0.931
0.000 0.000 0.500
0.179 0.359 0.301
0.179 0.821 0.301
0.359 0.179 0.699
0.641 0.821 0.301
0.821 0.179 0.699
0.821 0.641 0.699
```

***

[20]
This record from Alexandria via LeMat-Bulk describes crystalline SrAlGaAu6 at its relaxed geometry. The functional is PBE.

Results
size of the total moment: 0.0 μB per formula unit
D(E_F): 3.44 states/eV/f.u.
ΔH_f (0 K): -0.282 eV/atom

Geometry as POSCAR:
```
SrAlGaAu6
1.0
-3.733 4.773 5.409
3.733 -4.773 5.409
3.733 4.773 -5.409
Sr Al Ga Au
2 2 2 12
Direct
0.474 0.224 0.250
0.526 0.776 0.750
0.000 0.000 0.000
0.500 0.000 0.500
0.000 0.000 0.500
0.000 0.500 0.000
0.130 0.425 0.301
0.130 0.829 0.705
0.169 0.919 0.250
0.211 0.461 0.750
0.376 0.171 0.801
0.376 0.575 0.205
0.624 0.425 0.795
0.624 0.829 0.199
0.789 0.539 0.250
0.831 0.081 0.750
0.870 0.171 0.295
0.870 0.575 0.699
```